Compound: MnCo
Source: Alexandria
Functional: GGA-PBE
Structure: relaxed

Cell: 4.6573 4.6573 9.4670 Å, 140.53 140.53 30.59°
Closest atoms and distances in Å follow each position.
Element x y z (fractional)
Co1 0.6662 0.6662 0.3351  7 Mn 2.43-2.47, 5 Co 2.44-2.51
Mn1 0.3364 0.3364 0.6694  7 Co 2.42-2.47, 5 Mn 2.42-2.46
Mn2 0.4411 0.4411 0.3879  6 Co 2.42-2.47, 6 Mn 2.46-2.50
Co2 0.0017 0.0017 0.9991  6 Mn 2.42-2.46, 6 Co 2.45-2.51
Mn3 0.7779 0.7779 0.0540  7 Co 2.42-2.47, 5 Mn 2.42-2.50
Co3 0.1100 0.1100 0.7212  7 Mn 2.42-2.47, 5 Co 2.44-2.46

Values from the calculation:
Raw total energy   -8.10 eV per atom
Formation enthalpy at 0 K   0.039 eV/atom

***

Compound: CaSc2Cr
Source: Alexandria
Functional: GGA-PBE
Structure: relaxed

Cell: 5.1613 5.1613 5.1613 Å, 60.00 60.00 60.00°
Closest atoms and distances in Å follow each position.
Element x y z (fractional)
Cr1 0.7500 0.7500 0.7500  4 Sc 3.16, 4 Ca 3.16
Ca1 0.5000 0.5000 0.5000  4 Sc 3.16, 4 Cr 3.16
Sc1 0.0000 0.0000 0.0000  4 Sc 3.16, 4 Cr 3.16
Sc2 0.2500 0.2500 0.2500  4 Ca 3.16, 4 Sc 3.16

Values from the calculation:
Raw total energy   -5.64 eV per atom
Relative energy among the computed polymorphs   20.6 kJ/mol of atoms
Formation enthalpy at 0 K   0.427 eV/atom

***

Compound: SmHfPdRu
Source: Alexandria
Functional: GGA-PBE
Structure: relaxed

Cell: 4.8086 4.8086 4.8086 Å, 60.00 60.00 60.00°
Closest atoms and distances in Å follow each position.
Element x y z (fractional)
Pd1 0.5000 0.5000 0.5000  4 Sm 2.94, 4 Hf 2.94
Ru1 0.0000 0.0000 0.0000  4 Hf 2.94, 4 Sm 2.94
Hf1 0.7500 0.7500 0.7500  4 Pd 2.94, 4 Ru 2.94
Sm1 0.2500 0.2500 0.2500  4 Ru 2.94, 4 Pd 2.94

Values from the calculation:
Raw total energy   -7.80 eV per atom
Formation enthalpy at 0 K   -0.510 eV/atom

***

Compound: KRb2Pd
Source: Alexandria
Functional: GGA-PBE
Structure: relaxed

Cell: 4.2567 4.2567 11.5942 Å, 90.00 90.00 90.00°
Closest atoms and distances in Å follow each position.
Element x y z (fractional)
Rb1 0.0000 0.0000 0.1592  4 Pd 3.53, 1 Rb 3.69
Pd1 0.5000 0.5000 0.0000  8 Rb 3.53
Rb2 0.0000 0.0000 0.8408  4 Pd 3.53, 1 Rb 3.69
K1 0.5000 0.5000 0.5000  4 K 4.26

Values from the calculation:
Raw total energy   -1.89 eV per atom
Formation enthalpy at 0 K   0.165 eV/atom

***

Compound: CuHgS
Source: Alexandria
Functional: GGA-PBE
Structure: relaxed

Cell: 6.6399 6.6399 6.6399 Å, 143.36 133.53 60.58°
Closest atoms and distances in Å follow each position.
Element x y z (fractional)
Hg1 0.6266 0.1266 0.5000  1 S 2.51
S1 0.1542 0.6542 0.5000  2 Cu 2.23
Cu1 0.2606 0.5000 0.7606  2 S 2.23
Cu2 0.7394 0.5000 0.2394  2 S 2.23
S2 0.8458 0.3458 0.5000  2 Cu 2.23
Hg2 0.3734 0.8734 0.5000  1 S 2.51

Values from the calculation:
E_form (uncorrected)   0.04 eV per atom
Raw total energy   -2.81 eV per atom
Relative energy among the computed polymorphs   7.0 kJ/mol of atoms

***

Compound: Mg4TcP
Source: Alexandria
Functional: GGA-PBE
Structure: relaxed

Cell: 5.3701 5.3701 5.3701 Å, 60.00 60.00 60.00°
Closest atoms and distances in Å follow each position.
Element x y z (fractional)
Mg1 0.3741 0.8776 0.3741  6 Mg 2.67-2.70
Tc1 0.0000 0.0000 0.0000  12 Mg 3.15, 4 P 3.29
Mg2 0.8776 0.3741 0.3741  6 Mg 2.67-2.70
Mg3 0.3741 0.3741 0.8776  6 Mg 2.67-2.70
P1 0.7500 0.7500 0.7500  12 Mg 3.15, 4 Tc 3.29
Mg4 0.3741 0.3741 0.3741  6 Mg 2.67-2.70

Values from the calculation:
Raw total energy   -3.14 eV per atom
Formation enthalpy at 0 K   0.554 eV/atom

***

Compound: Tb2Cd2Sn
Source: Alexandria
Functional: GGA-PBE
Structure: relaxed

Cell: 8.1300 8.1300 6.1456 Å, 44.41 44.41 31.39°
Closest atoms and distances in Å follow each position.
Element x y z (fractional)
Tb1 0.3021 0.3021 0.1873  5 Cd 3.15-3.34, 3 Sn 3.24-3.50
Cd1 0.5933 0.5933 0.4974  1 Cd 2.90, 2 Sn 3.13, 4 Tb 3.15-3.19
Sn1 0.0000 0.0000 0.0000  4 Cd 3.13, 6 Tb 3.24-3.50
Cd2 0.4067 0.4067 0.5026  1 Cd 2.90, 2 Sn 3.13, 4 Tb 3.15-3.19
Tb2 0.6979 0.6979 0.8127  5 Cd 3.15-3.34, 3 Sn 3.24-3.50

Values from the calculation:
Raw total energy   -3.30 eV per atom
Formation enthalpy at 0 K   -0.283 eV/atom

***

Compound: Li3CuAu3
Source: Alexandria
Functional: GGA-PBE
Structure: relaxed

Cell: 6.2183 6.2183 6.1343 Å, 90.01 90.01 87.20°
Closest atoms and distances in Å follow each position.
Element x y z (fractional)
Li1 0.2559 0.7441 0.5000  6 Au 2.70-2.72
Au1 0.0013 0.4986 0.2507  6 Li 2.63-2.75, 2 Cu 2.64
Au2 0.0011 0.0011 0.2443  2 Cu 2.66-2.67, 6 Li 2.70-2.90
Li2 0.7554 0.7554 0.4973  6 Au 2.63-2.70
Au3 0.9987 0.5014 0.7493  6 Li 2.63-2.75, 2 Cu 2.64
Li3 0.7100 0.2900 0.0000  6 Au 2.75-2.90, 2 Cu 2.92
Cu1 0.2449 0.2449 0.9969  6 Au 2.64-2.67, 2 Li 2.92
Cu2 0.7551 0.7551 0.0031  6 Au 2.64-2.67, 2 Li 2.92
Li4 0.2446 0.2446 0.5027  6 Au 2.63-2.70
Li5 0.7441 0.2559 0.5000  6 Au 2.70-2.72
Au4 0.4986 0.0013 0.2507  6 Li 2.63-2.75, 2 Cu 2.64
Li6 0.2900 0.7100 0.0000  6 Au 2.75-2.90, 2 Cu 2.92
Au5 0.5014 0.9987 0.7493  6 Li 2.63-2.75, 2 Cu 2.64
Au6 0.9989 0.9989 0.7557  2 Cu 2.66-2.67, 6 Li 2.70-2.90

Values from the calculation:
Raw total energy   -3.15 eV per atom
Formation enthalpy at 0 K   -0.345 eV/atom

***

Compound: GaSn3Pb
Source: Alexandria
Functional: GGA-PBE
Structure: relaxed

Cell: 5.3674 5.3674 5.3674 Å, 90.00 90.00 90.00°
Closest atoms and distances in Å follow each position.
Element x y z (fractional)
Pb1 0.5000 0.5000 0.5000  12 Sn 3.80
Ga1 0.0000 0.0000 0.0000  6 Sn 2.68
Sn1 0.0000 0.0000 0.5000  2 Ga 2.68
Sn2 0.5000 0.0000 0.0000  2 Ga 2.68
Sn3 0.0000 0.5000 0.0000  2 Ga 2.68

Values from the calculation:
Raw total energy   -3.43 eV per atom
Relative energy among the computed polymorphs   22.0 kJ/mol of atoms
Formation enthalpy at 0 K   0.320 eV/atom

***

Compound: ScReHg
Source: Alexandria
Functional: GGA-PBE
Structure: relaxed

Cell: 4.5871 4.5871 4.5871 Å, 60.00 60.00 60.00°
Closest atoms and distances in Å follow each position.
Element x y z (fractional)
Hg1 0.5000 0.5000 0.5000  4 Re 2.81
Sc1 0.0000 0.0000 0.0000  4 Re 2.81
Re1 0.7500 0.7500 0.7500  4 Sc 2.81, 4 Hg 2.81

Values from the calculation:
Raw total energy   -5.52 eV per atom
Relative energy among the computed polymorphs   56.6 kJ/mol of atoms
Formation enthalpy at 0 K   0.838 eV/atom

***

Compound: Ho2ScHgN
Source: Alexandria
Functional: GGA-PBE
Structure: relaxed

Cell: 4.4593 4.7848 4.7848 Å, 90.00 90.00 90.00°
Closest atoms and distances in Å follow each position.
Element x y z (fractional)
Hg1 0.5000 0.5000 0.5000  8 Ho 3.27, 4 Sc 3.38
Ho1 0.0000 0.5000 0.0000  2 N 2.39
Sc1 0.5000 0.0000 0.0000  2 N 2.23
N1 0.0000 0.0000 0.0000  2 Sc 2.23, 4 Ho 2.39
Ho2 0.0000 0.0000 0.5000  2 N 2.39

Values from the calculation:
E_form (uncorrected)   -0.98 eV per atom
Raw total energy   -5.80 eV per atom

***

Compound: ErTm4CuS8
Source: Alexandria
Functional: GGA-PBE
Structure: relaxed

Cell: 7.8212 7.8212 7.8306 Å, 60.04 60.04 60.00°
Closest atoms and distances in Å follow each position.
Element x y z (fractional)
Tm1 0.6252 0.6252 0.1243  4 S 2.56-2.57
S1 0.2237 0.7582 0.2599  3 Tm 2.56-2.73, 1 Er 2.74
Tm2 0.4854 0.0049 0.5048  6 S 2.69-2.73
S2 0.2478 0.2478 0.2567  1 Cu 2.43, 3 Tm 2.69
S3 0.7590 0.7590 0.7229  4 Tm 2.57-2.73
S4 0.2486 0.7562 0.7467  1 Cu 2.44, 2 Tm 2.69, 1 Er 2.70
Er1 0.0050 0.0050 0.9851  6 S 2.70-2.74
Tm3 0.0049 0.4854 0.5048  6 S 2.69-2.73
S5 0.7582 0.2237 0.2599  3 Tm 2.56-2.73, 1 Er 2.74
S6 0.7582 0.7582 0.2599  3 Tm 2.56-2.73, 1 Er 2.74
Cu1 0.3743 0.3743 0.8771  4 S 2.43-2.44
S7 0.2486 0.2486 0.7467  1 Cu 2.44, 2 Tm 2.69, 1 Er 2.70
Tm4 0.0049 0.0049 0.5048  6 S 2.69-2.73
S8 0.7562 0.2486 0.7467  1 Cu 2.44, 2 Tm 2.69, 1 Er 2.70

Values from the calculation:
E_form (uncorrected)   -1.82 eV per atom
Raw total energy   -6.08 eV per atom